(1)
VASP calculation (GGA-PBE) on a relaxed Tb6Mg2Al crystal.

- Calculated formation energy: -36 meV/atom

abc: 9.6429 10.2341 10.5820
angles: 90.00 90.00 90.00
Space group Immm (No. 71)
One atom of each set of equivalent atoms:
Tb 0.0000 0.1780 0.2448 (multiplicity 8)
Tb 0.1738 0.5000 0.2526 (multiplicity 8)
Tb 0.2382 0.3078 0.0000 (multiplicity 8)
Mg 0.0000 0.3653 0.5000 (multiplicity 4)
Mg 0.1431 0.0000 0.0000 (multiplicity 4)
Al 0.0000 0.0000 0.5000 (multiplicity 2)
Al 0.0000 0.5000 0.0000 (multiplicity 2)

(2)
VASP calculation (GGA-PBE) on a relaxed NiOs crystal.

- Calculated formation energy: 379 meV/atom

abc: 2.6738 9.9707 6.0410
angles: 90.00 90.00 90.00
Space group Pmmn (No. 59, origin choice 2)
One atom of each set of equivalent atoms:
Ni 0.2500 0.0187 0.1601 (multiplicity 4)
Ni 0.2500 0.2500 0.2188 (multiplicity 2)
Os 0.2500 0.1111 0.5611 (multiplicity 4)
Os 0.2500 0.7500 0.1398 (multiplicity 2)

(3)
VASP calculation (GGA-PBE) on a relaxed Tb12GaCu6 crystal.

- Calculated formation energy: -184 meV/atom

abc: 9.8528 9.8528 9.8528
angles: 90.00 90.00 90.00
Space group Im-3 (No. 204)
One atom of each set of equivalent atoms:
Tb 0.0000 0.1878 0.2952 (multiplicity 24)
Ga 0.0000 0.0000 0.0000 (multiplicity 2)
Cu 0.0000 0.3754 0.5000 (multiplicity 12)

> Which formula does entry 3 have?

Tb12GaCu6